Record 1
Material: ScMoCl2
Method: DFT, GGA-PBE
State: optimized geometry

Unit cell a=4.123 b=3.632 c=4.893 alpha=90.13 beta=90.00 gamma=90.00
Fractional coordinates of all 4 atoms:
Sc1 0.500 0.750 0.750
Cl1 0.000 0.474 0.486
Mo1 0.500 0.250 0.250
Cl2 0.000 0.026 0.014

Computed properties:
For the raw formation energy, the calculation gives -0.277 eV/atom. The density of states at the Fermi level is 2.3 states/eV per cell. For the distance to the lowest polymorph of the same formula, the calculation gives 533 meV/atom. Its raw total energy is -5.491 eV per atom.

---

Record 2
Material: MnNiS2
Method: DFT, GGA-PBE
State: optimized geometry

Unit cell a=7.146 b=7.146 c=7.146 alpha=25.63 beta=25.63 gamma=25.63
Fractional coordinates of all 4 atoms:
Ni1 0.500 0.500 0.500
S1 0.102 0.102 0.102
S2 0.898 0.898 0.898
Mn1 0.000 0.000 0.000

Computed properties:
For the raw formation energy, the calculation gives 0.168 eV/atom. The density of states at the Fermi level is 4.8 states/eV per cell. For the distance to the lowest polymorph of the same formula, the calculation gives 609 meV/atom. Its raw total energy is -5.633 eV per atom.

---

Record 3
Material: Th2TlIn9
Method: DFT, GGA-PBE
State: optimized geometry

Unit cell a=4.729 b=4.729 c=14.603 alpha=90.00 beta=90.00 gamma=90.00
Fractional coordinates of all 12 atoms:
Th1 0.000 0.000 0.660
In1 0.500 0.000 0.500
In2 0.500 0.000 0.172
In3 0.500 0.500 0.000
In4 0.000 0.500 0.172
Tl1 0.000 0.000 0.000
In5 0.500 0.500 0.337
In6 0.000 0.500 0.828
In7 0.000 0.500 0.500
In8 0.500 0.500 0.663
Th2 0.000 0.000 0.340
In9 0.500 0.000 0.828

Computed properties:
The density of states at the Fermi level is 7.4 states/eV per cell. The value obtained for the formation energy is -0.18 eV/atom. Its raw total energy is -3.672 eV per atom.

---

Record 4
Material: Pm2NdHo5Er
Method: DFT, GGA-PBE
State: optimized geometry

Unit cell a=8.729 b=8.729 c=9.852 alpha=116.29 beta=116.29 gamma=90.00
Fractional coordinates of all 18 atoms:
Nd1 0.750 0.750 0.500
Ho1 0.428 0.347 0.274
Pm1 0.884 0.616 0.000
Ho2 0.347 0.847 0.274
Ho3 0.572 0.653 0.726
Ho4 0.653 0.153 0.726
Ho5 0.500 0.500 0.000
Ho6 0.928 0.428 0.274
Er1 0.750 0.250 0.500
Ho7 0.153 0.072 0.726
Nd2 0.250 0.250 0.500
Ho8 0.847 0.928 0.274
Pm2 0.116 0.384 0.000
Er2 0.250 0.750 0.500
Ho9 0.072 0.572 0.726
Ho10 0.000 0.000 0.000
Pm3 0.384 0.884 0.000
Pm4 0.616 0.116 0.000

Computed properties:
The density of states at the Fermi level is 20.7 states/eV per cell. The value obtained for the formation energy is 0.27 eV/atom. Its raw total energy is -4.365 eV per atom.

---

Record 5
Material: Tb2Sm6Dy3Sc
Method: DFT, GGA-PBE
State: optimized geometry

Unit cell a=6.186 b=6.186 c=11.757 alpha=95.02 beta=95.02 gamma=119.98
Fractional coordinates of all 12 atoms:
Sm1 0.413 0.082 0.248
Tb1 0.333 0.667 0.000
Dy1 0.166 0.834 0.500
Sm2 0.752 0.752 0.248
Sm3 0.587 0.918 0.752
Dy2 0.834 0.166 0.500
Sm4 0.082 0.413 0.248
Sc1 0.000 0.000 0.000
Sm5 0.918 0.587 0.752
Tb2 0.667 0.333 0.000
Dy3 0.500 0.500 0.500
Sm6 0.248 0.248 0.752

Computed properties:
The density of states at the Fermi level is 14.7 states/eV per cell. The value obtained for the formation energy is 0.02 eV/atom. Its raw total energy is -4.785 eV per atom.

---

Record 6
Material: CaNdTm2Se4
Method: DFT, GGA-PBE
State: optimized geometry

Unit cell a=4.084 b=7.133 c=7.148 alpha=70.98 beta=90.00 gamma=90.00
Fractional coordinates of all 8 atoms:
Nd1 0.500 0.500 0.000
Se1 0.000 0.235 0.260
Se2 0.500 0.763 0.250
Ca1 0.000 0.500 0.500
Se3 0.500 0.237 0.750
Se4 0.000 0.765 0.740
Tm1 0.500 0.000 0.500
Tm2 0.000 0.000 0.000

Computed properties:
For the raw formation energy, the calculation gives -1.790 eV/atom. The density of states at the Fermi level is 3.1 states/eV per cell. Its raw total energy is -5.496 eV per atom.

---

Record 7
Material: GeIr2Rh6
Method: DFT, GGA-PBE
State: optimized geometry

Unit cell a=3.717 b=7.725 c=7.725 alpha=41.01 beta=76.07 gamma=76.07
Fractional coordinates of all 9 atoms:
Rh1 0.304 0.420 0.973
Rh2 0.683 0.577 0.058
Rh3 0.488 0.764 0.261
Rh4 0.683 0.058 0.577
Rh5 0.488 0.261 0.764
Ir1 0.886 0.614 0.614
Ge1 0.079 0.921 0.921
Rh6 0.304 0.973 0.420
Ir2 0.086 0.414 0.414

Computed properties:
The density of states at the Fermi level is 11.9 states/eV per cell. The value obtained for the formation energy is 0.22 eV/atom. Its raw total energy is -7.165 eV per atom.

---

Record 8
Material: CaMgHPb
Method: DFT, GGA-PBE
State: optimized geometry

Unit cell a=4.218 b=4.218 c=9.908 alpha=90.00 beta=90.00 gamma=90.00
Fractional coordinates of all 8 atoms:
Mg1 0.500 0.500 0.500
H1 0.000 0.000 0.000
Ca1 0.500 0.000 0.109
H2 0.500 0.500 0.000
Pb1 0.000 0.500 0.283
Ca2 0.000 0.500 0.891
Pb2 0.500 0.000 0.717
Mg2 0.000 0.000 0.500

Computed properties:
The density of states at the Fermi level is 2.9 states/eV per cell. Its raw total energy is -3.008 eV per atom.